A relaxed CsIn2NiPb crystal. Source: the Alexandria database, functional PBE-GGA.

D(E_F) (states/eV per atom): 0.93
Formation energy (eV/atom): 0.07

Cell lengths 5.241, 5.241, 5.422 Å; angles 90.00, 90.00, 90.00 degrees
Space group P4/mmm (No. 123)
Inequivalent atoms, fractional coordinates:
Cs  0.000  0.000  0.000 [1 per cell]
In  0.000  0.500  0.500 [2 per cell]
Ni  0.500  0.500  0.500 [1 per cell]
Pb  0.500  0.500  0.000 [1 per cell]